{
  "formula": "PaGa4Cu2",
  "functional": "PBE",
  "state": "optimized geometry",
  "energy_ev_per_atom": -4.494,
  "ef_ev_per_fu": -1.66,
  "space_group": "Pnma (62)",
  "cell": [[-3.2233, 2.4114, -1.6878], [-4.3424, -3.6633, 3.0590], [0.7129, 10.2678, 13.3083]],
  "species": ["Pa", "Pa", "Pa", "Pa", "Cu", "Cu", "Cu", "Cu", "Cu", "Cu", "Cu", "Cu", "Ga", "Ga", "Ga", "Ga", "Ga", "Ga", "Ga", "Ga", "Ga", "Ga", "Ga", "Ga", "Ga", "Ga", "Ga", "Ga"],
  "fractional_positions": [[0.7500, 0.9933, 0.6337], [0.2500, 0.0067, 0.3663], [0.2500, 0.4933, 0.8663], [0.7500, 0.5067, 0.1337], [0.2500, 0.7690, 0.5357], [0.7500, 0.2310, 0.4643], [0.7500, 0.2690, 0.9643], [0.2500, 0.7310, 0.0357], [0.2500, 0.9765, 0.7809], [0.7500, 0.0235, 0.2191], [0.7500, 0.4765, 0.7191], [0.2500, 0.5235, 0.2809], [0.2500, 0.2826, 0.6930], [0.7500, 0.7174, 0.3070], [0.7500, 0.7826, 0.8070], [0.2500, 0.2174, 0.1930], [0.2500, 0.6854, 0.6831], [0.7500, 0.3146, 0.3169], [0.7500, 0.1854, 0.8169], [0.2500, 0.8146, 0.1831], [0.2500, 0.1859, 0.5356], [0.7500, 0.8141, 0.4644], [0.7500, 0.6859, 0.9644], [0.2500, 0.3141, 0.0356], [0.2500, 0.4969, 0.4262], [0.7500, 0.5031, 0.5738], [0.7500, 0.9969, 0.0738], [0.2500, 0.0031, 0.9262]]
}